(1)
# PuPt10Pb

PuPt10Pb after structural relaxation (GGA-PBE, Alexandria via LeMat-Bulk).

Cell: 4.4390 5.4118 9.3405 Å, 90.00 90.00 90.00°
Element x y z (fractional)
Pu1 0.0000 0.0000 0.0000
Pt1 0.0000 0.0000 0.3325
Pt2 0.0000 0.0000 0.6675
Pt3 0.0000 0.5000 0.1668
Pt4 0.0000 0.5000 0.8332
Pt5 0.5000 0.0000 0.5000
Pt6 0.5000 0.2464 0.2449
Pt7 0.5000 0.2464 0.7551
Pt8 0.5000 0.5000 0.0000
Pt9 0.5000 0.7536 0.2449
Pt10 0.5000 0.7536 0.7551
Pb1 0.0000 0.5000 0.5000

***

(2)
# PuPtPb2

PuPtPb2 after structural relaxation (GGA-PBE, Alexandria via LeMat-Bulk).

Results
Energy above the lowest structure with this stoichiometry ... 0.3427 eV per atom

Cell: 3.5205 3.5205 31.4724 Å, 90.00 90.00 120.00°
Element x y z (fractional)
Pu1 0.0000 0.0000 0.0000
Pu2 0.3333 0.6667 0.6667
Pu3 0.6667 0.3333 0.3333
Pt1 0.0000 0.0000 0.5000
Pt2 0.3333 0.6667 0.1667
Pt3 0.6667 0.3333 0.8333
Pb1 0.0000 0.0000 0.1037
Pb2 0.0000 0.0000 0.8963
Pb3 0.3333 0.6667 0.5629
Pb4 0.3333 0.6667 0.7704
Pb5 0.6667 0.3333 0.2296
Pb6 0.6667 0.3333 0.4371

***

(3)
# PuPtRhPb

PuPtRhPb after structural relaxation (GGA-PBE, Alexandria via LeMat-Bulk).

Cell: 6.8774 6.8774 6.8774 Å, 90.00 90.00 90.00°
Element x y z (fractional)
Pu1 0.0000 0.0000 0.0000
Pu2 0.0000 0.5000 0.5000
Pu3 0.5000 0.0000 0.5000
Pu4 0.5000 0.5000 0.0000
Pt1 0.2500 0.2500 0.7500
Pt2 0.2500 0.7500 0.2500
Pt3 0.7500 0.2500 0.2500
Pt4 0.7500 0.7500 0.7500
Rh1 0.2500 0.2500 0.2500
Rh2 0.2500 0.7500 0.7500
Rh3 0.7500 0.2500 0.7500
Rh4 0.7500 0.7500 0.2500
Pb1 0.0000 0.0000 0.5000
Pb2 0.0000 0.5000 0.0000
Pb3 0.5000 0.0000 0.0000
Pb4 0.5000 0.5000 0.5000

***

(4)
# SmPuPtPb

SmPuPtPb after structural relaxation (GGA-PBE, Alexandria via LeMat-Bulk).

Cell: 7.4444 7.4444 7.4444 Å, 90.00 90.00 90.00°
Element x y z (fractional)
Sm1 0.0000 0.0000 0.0000
Sm2 0.0000 0.5000 0.5000
Sm3 0.5000 0.0000 0.5000
Sm4 0.5000 0.5000 0.0000
Pu1 0.0000 0.0000 0.5000
Pu2 0.0000 0.5000 0.0000
Pu3 0.5000 0.0000 0.0000
Pu4 0.5000 0.5000 0.5000
Pt1 0.2500 0.2500 0.2500
Pt2 0.2500 0.7500 0.7500
Pt3 0.7500 0.2500 0.7500
Pt4 0.7500 0.7500 0.2500
Pb1 0.2500 0.2500 0.7500
Pb2 0.2500 0.7500 0.2500
Pb3 0.7500 0.2500 0.2500
Pb4 0.7500 0.7500 0.7500

***

(5)
# TbPuPtPb

TbPuPtPb after structural relaxation (GGA-PBE, Alexandria via LeMat-Bulk).

Cell: 7.3855 7.3855 7.3855 Å, 90.00 90.00 90.00°
Element x y z (fractional)
Tb1 0.0000 0.0000 0.0000
Tb2 0.0000 0.5000 0.5000
Tb3 0.5000 0.0000 0.5000
Tb4 0.5000 0.5000 0.0000
Pu1 0.0000 0.0000 0.5000
Pu2 0.0000 0.5000 0.0000
Pu3 0.5000 0.0000 0.0000
Pu4 0.5000 0.5000 0.5000
Pt1 0.2500 0.2500 0.7500
Pt2 0.2500 0.7500 0.2500
Pt3 0.7500 0.2500 0.2500
Pt4 0.7500 0.7500 0.7500
Pb1 0.2500 0.2500 0.2500
Pb2 0.2500 0.7500 0.7500
Pb3 0.7500 0.2500 0.7500
Pb4 0.7500 0.7500 0.2500

***

(6)
# YPuPtPb

YPuPtPb after structural relaxation (GGA-PBE, Alexandria via LeMat-Bulk).

Cell: 7.3789 7.3789 7.3789 Å, 90.00 90.00 90.00°
Element x y z (fractional)
Y1 0.0000 0.0000 0.0000
Y2 0.0000 0.5000 0.5000
Y3 0.5000 0.0000 0.5000
Y4 0.5000 0.5000 0.0000
Pu1 0.0000 0.0000 0.5000
Pu2 0.0000 0.5000 0.0000
Pu3 0.5000 0.0000 0.0000
Pu4 0.5000 0.5000 0.5000
Pt1 0.2500 0.2500 0.2500
Pt2 0.2500 0.7500 0.7500
Pt3 0.7500 0.2500 0.7500
Pt4 0.7500 0.7500 0.2500
Pb1 0.2500 0.2500 0.7500
Pb2 0.2500 0.7500 0.2500
Pb3 0.7500 0.2500 0.2500
Pb4 0.7500 0.7500 0.7500

***

Size of the total moment across the listed records, respectively: 0.39 1.68 1.20 1.33 1.32 1.32 μB per atom.
Calculated formation energy across the listed records, respectively: -303 150 -340 -463 -483 -489 meV per atom.